1.
12
Lattice="7.033 0.032 -0.009 0.095 6.668 -0.011 0.003 0.003 8.918" Properties=species:S:1:pos:R:3 comment="RbCd2BiBr8 PBE relaxed" crystal_system=triclinic vol_a3_per_atom=34.85 total_magnetization_mub_per_cell=0.0 spacegroup="No. 2" total_energy_ev_per_fu=-30.73 e_form_raw_ev_per_atom=-0.8889 pbc="T T T"
Br 1.256 4.906 1.952
Br 5.880 1.801 1.954
Br 1.251 4.902 6.944
Br 4.695 4.963 -0.012
Br 2.774 1.799 4.447
Br 2.436 1.741 8.910
Br 4.356 4.905 4.450
Br 5.875 1.797 6.945
Cd 3.563 3.351 6.652
Cd 3.567 3.352 2.245
Bi 0.000 0.000 0.000
Rb 0.001 0.002 4.459



2.
10
Lattice="7.128 0.000 0.000 0.000 5.785 0.000 0.000 0.000 8.008" Properties=species:S:1:pos:R:3 comment="CsRbNiSe2 PBE relaxed" crystal_system=orthorhombic vol_a3_per_atom=33.02 total_magnetization_mub_per_cell=0.0 spacegroup="No. 51" total_energy_ev_per_fu=-18.07 e_form_raw_ev_per_atom=-0.7007 pbc="T T T"
Cs 5.587 4.339 4.004
Cs 1.542 1.446 4.004
Se 6.065 1.446 6.416
Se 1.063 4.339 6.416
Se 6.065 1.446 1.592
Se 1.063 4.339 1.592
Ni 0.000 2.892 0.000
Ni 0.000 0.000 0.000
Rb 2.740 1.446 0.000
Rb 4.389 4.339 0.000



3.
10
Lattice="3.657 0.000 0.000 0.000 3.657 0.000 0.000 0.000 17.450" Properties=species:S:1:pos:R:3 comment="NaLi5Pb4 PBE relaxed" crystal_system=tetragonal vol_a3_per_atom=23.34 total_magnetization_mub_per_cell=0.0 ef_kj_per_mol_fu=-216.0 spacegroup="No. 123" total_energy_ev_per_fu=-27.96 pbc="T T T"
Na 0.000 0.000 0.000
Pb 0.000 0.000 13.871
Pb 0.000 0.000 6.993
Pb 0.000 0.000 3.579
Pb 0.000 0.000 10.457
Li 1.829 1.829 8.725
Li 1.829 1.829 15.301
Li 1.829 1.829 5.329
Li 1.829 1.829 12.121
Li 1.829 1.829 2.149



4.
14
Lattice="-3.224 2.176 -1.889 -5.887 0.639 5.834 0.331 7.632 3.276" Properties=species:S:1:pos:R:3 comment="Ca3Zn8Ga3 PBE relaxed" crystal_system=orthorhombic vol_a3_per_atom=19.16 total_magnetization_mub_per_cell=0.0 ef_kj_per_mol_fu=-380.5 spacegroup="No. 71" total_energy_ev_per_fu=-29.22 pbc="T T T"
Zn -2.344 6.343 1.407
Zn -5.804 2.451 2.830
Zn -3.221 2.180 3.059
Zn -1.556 4.054 2.374
Zn -7.225 6.393 4.846
Zn -5.559 8.266 4.161
Zn -2.976 7.996 4.390
Zn -6.437 4.104 5.813
Ga -1.612 1.088 -0.945
Ga -1.013 6.121 3.829
Ga -4.544 2.150 5.281
Ca -3.669 3.338 0.208
Ca -5.112 7.109 7.012
Ca -4.390 5.223 3.610



What did the second record say?
10
Lattice="7.128 0.000 0.000 0.000 5.785 0.000 0.000 0.000 8.008" Properties=species:S:1:pos:R:3 comment="CsRbNiSe2 PBE relaxed" crystal_system=orthorhombic vol_a3_per_atom=33.02 total_magnetization_mub_per_cell=0.0 spacegroup="No. 51" total_energy_ev_per_fu=-18.07 e_form_raw_ev_per_atom=-0.7007 pbc="T T T"
Cs 5.587 4.339 4.004
Cs 1.542 1.446 4.004
Se 6.065 1.446 6.416
Se 1.063 4.339 6.416
Se 6.065 1.446 1.592
Se 1.063 4.339 1.592
Ni 0.000 2.892 0.000
Ni 0.000 0.000 0.000
Rb 2.740 1.446 0.000
Rb 4.389 4.339 0.000